Entry from Alexandria: crystalline Nb2CS at its relaxed geometry (PBE-GGA).

Properties
Uncorrected formation energy   -0.02 eV per atom
Energy relative to the lowest polymorph listed for this composition   0.752 eV per atom
E_tot   -8.397 eV/atom
M_tot   0.000 μB/atom
Symmetry   Fm-3m, No. 225
DOS(E_F)   0.182 states/eV per atom

a b c (Å): 4.193 4.193 4.193
angles (deg): 60.00 60.00 60.00
Fractional coordinates of all 4 atoms:
1 C 0.000 0.000 0.000
2 Nb 0.250 0.250 0.250
3 Nb 0.750 0.750 0.750
4 S 0.500 0.500 0.500

---

Entry from Alexandria: crystalline NbCS3 at its relaxed geometry (PBE-GGA).

Properties
Uncorrected formation energy   0.88 eV per atom
Energy relative to the lowest polymorph listed for this composition   0.000 eV per atom
E_tot   -5.451 eV/atom
M_tot   0.211 μB/atom
Symmetry   Pm-3m, No. 221
DOS(E_F)   1.067 states/eV per atom

a b c (Å): 4.087 4.087 4.087
angles (deg): 90.00 90.00 90.00
Each line ends with the local moment (μB).
Fractional coordinates of all 5 atoms:
1 Nb 0.500 0.500 0.500  0.99
2 C 0.000 0.000 0.000  0.00
3 S 0.000 0.500 0.000  -0.04
4 S 0.000 0.000 0.500  -0.04
5 S 0.500 0.000 0.000  -0.04

---

Entry from Alexandria: crystalline Nb2CS2 at its relaxed geometry (PBE-GGA).

Properties
Uncorrected formation energy   -0.86 eV per atom
Energy relative to the lowest polymorph listed for this composition   0.005 eV per atom
E_tot   -8.385 eV/atom
M_tot   0.000 μB/atom
Symmetry   C2/m, No. 12
DOS(E_F)   0.444 states/eV per atom

a b c (Å): 3.292 3.292 9.936
angles (deg): 81.65 80.46 60.00
Fractional coordinates of all 5 atoms:
1 Nb 0.713 0.197 0.378
2 Nb 0.287 0.803 0.622
3 C 0.000 0.500 0.500
4 S 0.442 0.906 0.209
5 S 0.558 0.094 0.791

---

Entry from Alexandria: crystalline Nb2CS at its relaxed geometry (PBE-GGA).

Properties
Uncorrected formation energy   -0.78 eV per atom
Energy relative to the lowest polymorph listed for this composition   0.000 eV per atom
E_tot   -9.148 eV/atom
M_tot   0.000 μB/atom
Symmetry   P6_3/mmc, No. 194
DOS(E_F)   0.700 states/eV per atom

a b c (Å): 3.326 3.326 11.678
angles (deg): 90.00 90.00 120.00
Fractional coordinates of all 8 atoms:
1 Nb 0.333 0.667 0.405
2 Nb 0.667 0.333 0.905
3 Nb 0.667 0.333 0.595
4 Nb 0.333 0.667 0.095
5 C 0.000 0.000 0.500
6 C 0.000 0.000 0.000
7 S 0.667 0.333 0.250
8 S 0.333 0.667 0.750

---

Entry from Alexandria: crystalline NbCS2 at its relaxed geometry (PBE-GGA).

Properties
Uncorrected formation energy   0.76 eV per atom
E_tot   -6.125 eV/atom
M_tot   0.000 μB/atom
Symmetry   I-42d, No. 122
DOS(E_F)   0.562 states/eV per atom

a b c (Å): 5.234 5.234 5.776
angles (deg): 63.06 63.06 90.00
Fractional coordinates of all 8 atoms:
1 C 0.500 0.500 0.000
2 C 0.250 0.750 0.500
3 Nb 0.000 0.000 0.000
4 Nb 0.750 0.250 0.500
5 S 0.553 0.125 0.250
6 S 0.197 0.625 0.250
7 S 0.375 0.447 0.750
8 S 0.875 0.803 0.750

---

Entry from Alexandria: crystalline Nb3CS at its relaxed geometry (PBE-GGA).

Properties
Uncorrected formation energy   -0.36 eV per atom
Energy relative to the lowest polymorph listed for this composition   0.000 eV per atom
E_tot   -9.071 eV/atom
M_tot   0.000 μB/atom
Symmetry   C2/m, No. 12
DOS(E_F)   0.508 states/eV per atom

a b c (Å): 3.108 7.141 7.769
angles (deg): 102.21 101.54 90.00
Fractional coordinates of all 10 atoms:
1 Nb 0.001 0.806 0.002
2 Nb 0.999 0.194 0.998
3 Nb 0.329 0.886 0.659
4 Nb 0.671 0.114 0.341
5 Nb 0.165 0.488 0.329
6 Nb 0.835 0.512 0.671
7 C 0.581 0.345 0.162
8 C 0.419 0.655 0.838
9 S 0.837 0.163 0.673
10 S 0.163 0.837 0.327

---

Entry from Alexandria: crystalline Nb2SiCS at its relaxed geometry (PBE-GGA).

Properties
Uncorrected formation energy   0.08 eV per atom
E_tot   -7.699 eV/atom
M_tot   0.000 μB/atom
Symmetry   P4/mmm, No. 123
DOS(E_F)   0.550 states/eV per atom

a b c (Å): 4.479 3.518 4.479
angles (deg): 90.00 90.00 90.00
Fractional coordinates of all 5 atoms:
1 C 0.000 0.000 0.000
2 Nb 0.000 0.000 0.500
3 Nb 0.500 0.000 0.000
4 Si 0.000 0.500 0.000
5 S 0.500 0.500 0.500

---

Entry from Alexandria: crystalline NbSnCS2 at its relaxed geometry (PBE-GGA).

Properties
Uncorrected formation energy   1.10 eV per atom
E_tot   -5.214 eV/atom
M_tot   0.000 μB/atom
Symmetry   P4/mmm, No. 123
DOS(E_F)   0.648 states/eV per atom

a b c (Å): 4.202 4.548 4.202
angles (deg): 90.00 90.00 90.00
Fractional coordinates of all 5 atoms:
1 S 0.000 0.000 0.500
2 S 0.500 0.000 0.000
3 C 0.000 0.000 0.000
4 Nb 0.500 0.500 0.500
5 Sn 0.000 0.500 0.000

---

Entry from Alexandria: crystalline SrNb2CS at its relaxed geometry (PBE-GGA).

Properties
Uncorrected formation energy   3.39 eV per atom
E_tot   -3.641 eV/atom
M_tot   1.187 μB/atom
Symmetry   P4/mmm, No. 123
DOS(E_F)   1.564 states/eV per atom

a b c (Å): 5.344 5.141 5.344
angles (deg): 90.00 90.00 90.00
Each line ends with the local moment (μB).
Fractional coordinates of all 5 atoms:
1 C 0.500 0.500 0.500  0.56
2 Sr 0.000 0.000 0.000  0.12
3 Nb 0.000 0.000 0.500  1.71
4 Nb 0.500 0.000 0.000  1.89
5 S 0.000 0.500 0.000  0.04

---

Entry from Alexandria: crystalline NbSbC3 at its relaxed geometry (PBE-GGA).

Properties
Uncorrected formation energy   2.67 eV per atom
Energy relative to the lowest polymorph listed for this composition   0.751 eV per atom
E_tot   -5.703 eV/atom
M_tot   0.000 μB/atom
Symmetry   Pm-3m, No. 221
DOS(E_F)   0.739 states/eV per atom

a b c (Å): 4.124 4.124 4.124
angles (deg): 90.00 90.00 90.00
Fractional coordinates of all 5 atoms:
1 Sb 0.000 0.000 0.000
2 Nb 0.500 0.500 0.500
3 C 0.000 0.500 0.000
4 C 0.000 0.000 0.500
5 C 0.500 0.000 0.000

---

Entry from Alexandria: crystalline Nb4SbC at its relaxed geometry (PBE-GGA).

Properties
Uncorrected formation energy   -0.05 eV per atom
E_tot   -8.983 eV/atom
M_tot   0.000 μB/atom
Symmetry   P2_1/c, No. 14
DOS(E_F)   0.751 states/eV per atom

a b c (Å): 5.316 5.715 7.174
angles (deg): 90.00 80.25 90.00
Fractional coordinates of all 12 atoms:
1 Nb 0.959 0.601 0.223
2 Nb 0.541 0.101 0.777
3 Nb 0.375 0.362 0.406
4 Nb 0.125 0.862 0.594
5 Nb 0.041 0.399 0.777
6 Nb 0.459 0.899 0.223
7 Nb 0.625 0.638 0.594
8 Nb 0.875 0.138 0.406
9 Sb 0.000 0.000 0.000
10 Sb 0.500 0.500 0.000
11 C 0.500 0.000 0.500
12 C 0.000 0.500 0.500

---

Entry from Alexandria: crystalline NbSbC at its relaxed geometry (PBE-GGA).

Properties
Uncorrected formation energy   0.49 eV per atom
E_tot   -7.315 eV/atom
M_tot   0.000 μB/atom
Symmetry   C2/m, No. 12
DOS(E_F)   0.400 states/eV per atom

a b c (Å): 3.985 5.686 6.741
angles (deg): 59.16 72.81 69.49
Fractional coordinates of all 6 atoms:
1 Nb 0.363 0.848 0.425
2 Nb 0.637 0.152 0.575
3 C 0.837 0.979 0.347
4 C 0.163 0.021 0.653
5 Sb 0.648 0.643 0.061
6 Sb 0.352 0.357 0.939

---

Entry from Alexandria: crystalline NbSb3C at its relaxed geometry (PBE-GGA).

Properties
Uncorrected formation energy   1.07 eV per atom
Energy relative to the lowest polymorph listed for this composition   0.000 eV per atom
E_tot   -5.258 eV/atom
M_tot   0.000 μB/atom
Symmetry   Pm-3m, No. 221
DOS(E_F)   0.857 states/eV per atom

a b c (Å): 4.673 4.673 4.673
angles (deg): 90.00 90.00 90.00
Fractional coordinates of all 5 atoms:
1 Sb 0.000 0.500 0.000
2 Sb 0.000 0.000 0.500
3 Sb 0.500 0.000 0.000
4 Nb 0.500 0.500 0.500
5 C 0.000 0.000 0.000

---

Entry from Alexandria: crystalline NbSbC3 at its relaxed geometry (PBE-GGA).

Properties
Uncorrected formation energy   1.92 eV per atom
Energy relative to the lowest polymorph listed for this composition   0.000 eV per atom
E_tot   -6.454 eV/atom
M_tot   0.000 μB/atom
Symmetry   Pm-3m, No. 221
DOS(E_F)   0.887 states/eV per atom

a b c (Å): 4.245 4.245 4.245
angles (deg): 90.00 90.00 90.00
Fractional coordinates of all 5 atoms:
1 Sb 0.500 0.500 0.500
2 Nb 0.000 0.000 0.000
3 C 0.000 0.500 0.000
4 C 0.000 0.000 0.500
5 C 0.500 0.000 0.000

---

Entry from Alexandria: crystalline NbSb3C at its relaxed geometry (PBE-GGA).

Properties
Uncorrected formation energy   1.59 eV per atom
Energy relative to the lowest polymorph listed for this composition   0.520 eV per atom
E_tot   -4.738 eV/atom
M_tot   0.421 μB/atom
Symmetry   Pm-3m, No. 221
DOS(E_F)   0.455 states/eV per atom

a b c (Å): 5.316 5.316 5.316
angles (deg): 90.00 90.00 90.00
Each line ends with the local moment (μB).
Fractional coordinates of all 5 atoms:
1 Sb 0.000 0.500 0.000  -0.02
2 Sb 0.000 0.000 0.500  -0.12
3 Sb 0.500 0.000 0.000  -0.03
4 Nb 0.000 0.000 0.000  0.32
5 C 0.500 0.500 0.500  0.97

---

Entry from Alexandria: crystalline Sc2NbSbC at its relaxed geometry (PBE-GGA).

Properties
Uncorrected formation energy   -0.53 eV per atom
Energy relative to the lowest polymorph listed for this composition   0.000 eV per atom
E_tot   -7.749 eV/atom
M_tot   0.000 μB/atom
Symmetry   P4/mmm, No. 123
DOS(E_F)   0.796 states/eV per atom

a b c (Å): 4.578 4.269 4.578
angles (deg): 90.00 90.00 90.00
Fractional coordinates of all 5 atoms:
1 Sc 0.000 0.000 0.500
2 Sc 0.500 0.000 0.000
3 Sb 0.500 0.500 0.500
4 Nb 0.000 0.500 0.000
5 C 0.000 0.000 0.000

---

Entry from Alexandria: crystalline Sc2NbSbC at its relaxed geometry (PBE-GGA).

Properties
Uncorrected formation energy   1.61 eV per atom
Energy relative to the lowest polymorph listed for this composition   2.146 eV per atom
E_tot   -5.603 eV/atom
M_tot   0.306 μB/atom
Symmetry   P4/mmm, No. 123
DOS(E_F)   0.578 states/eV per atom

a b c (Å): 5.121 5.182 5.121
angles (deg): 90.00 90.00 90.00
Each line ends with the local moment (μB).
Fractional coordinates of all 5 atoms:
1 Sc 0.000 0.000 0.500  0.02
2 Sc 0.500 0.000 0.000  0.02
3 Sb 0.000 0.500 0.000  -0.03
4 Nb 0.000 0.000 0.000  0.10
5 C 0.500 0.500 0.500  0.70

---

Entry from Alexandria: crystalline NbSn2SbC at its relaxed geometry (PBE-GGA).

Properties
Uncorrected formation energy   1.57 eV per atom
E_tot   -4.711 eV/atom
M_tot   0.495 μB/atom
Symmetry   P4/mmm, No. 123
DOS(E_F)   1.343 states/eV per atom

a b c (Å): 5.401 5.278 5.401
angles (deg): 90.00 90.00 90.00
Each line ends with the local moment (μB).
Fractional coordinates of all 5 atoms:
1 C 0.500 0.500 0.500  1.02
2 Sb 0.000 0.500 0.000  0.01
3 Nb 0.000 0.000 0.000  0.14
4 Sn 0.000 0.000 0.500  0.02
5 Sn 0.500 0.000 0.000  0.03

---

Entry from Alexandria: crystalline NbSbTe2C at its relaxed geometry (PBE-GGA).

Properties
Uncorrected formation energy   1.08 eV per atom
Energy relative to the lowest polymorph listed for this composition   0.000 eV per atom
E_tot   -4.860 eV/atom
M_tot   0.337 μB/atom
Symmetry   P4/mmm, No. 123
DOS(E_F)   0.693 states/eV per atom

a b c (Å): 4.709 4.709 4.690
angles (deg): 90.00 90.00 90.00
Each line ends with the local moment (μB).
Fractional coordinates of all 5 atoms:
1 Sb 0.000 0.000 0.500  -0.05
2 Nb 0.500 0.500 0.500  1.61
3 Te 0.000 0.500 0.000  -0.05
4 Te 0.500 0.000 0.000  -0.05
5 C 0.000 0.000 0.000  -0.06

---

Entry from Alexandria: crystalline NbSbTe2C at its relaxed geometry (PBE-GGA).

Properties
Uncorrected formation energy   1.53 eV per atom
Energy relative to the lowest polymorph listed for this composition   0.452 eV per atom
E_tot   -4.408 eV/atom
M_tot   0.352 μB/atom
Symmetry   P4/mmm, No. 123
DOS(E_F)   0.887 states/eV per atom

a b c (Å): 5.347 5.347 5.418
angles (deg): 90.00 90.00 90.00
Each line ends with the local moment (μB).
Fractional coordinates of all 5 atoms:
1 Sb 0.000 0.000 0.500  -0.14
2 Nb 0.000 0.000 0.000  0.25
3 Te 0.000 0.500 0.000  -0.09
4 Te 0.500 0.000 0.000  -0.09
5 C 0.500 0.500 0.500  0.96

---

Entry from Alexandria: crystalline YNbSb2C at its relaxed geometry (PBE-GGA).

Properties
Uncorrected formation energy   2.44 eV per atom
E_tot   -4.357 eV/atom
M_tot   0.364 μB/atom
Symmetry   P4/mmm, No. 123
DOS(E_F)   1.378 states/eV per atom

a b c (Å): 5.672 5.083 5.672
angles (deg): 90.00 90.00 90.00
Each line ends with the local moment (μB).
Fractional coordinates of all 5 atoms:
1 Y 0.000 0.000 0.000  0.01
2 Sb 0.000 0.000 0.500  -0.08
3 Sb 0.500 0.000 0.000  -0.02
4 Nb 0.000 0.500 0.000  0.25
5 C 0.500 0.500 0.500  0.84

---

Entry from Alexandria: crystalline Sc2NbC2 at its relaxed geometry (PBE-GGA).

Properties
Energy relative to the lowest polymorph listed for this composition   0.000 eV per atom
DFT formation energy   -2.78 eV/f.u.
E_tot   -8.792 eV/atom
M_tot   0.000 μB/atom
Symmetry   C2/c, No. 15
DOS(E_F)   0.409 states/eV per atom

a b c (Å): 5.655 5.655 5.640
angles (deg): 98.84 98.84 120.48
Fractional coordinates of all 10 atoms:
1 Sc 0.742 0.258 0.750
2 Sc 0.580 0.420 0.250
3 Sc 0.420 0.580 0.750
4 Sc 0.258 0.742 0.250
5 Nb 0.058 0.942 0.750
6 Nb 0.942 0.058 0.250
7 C 0.845 0.684 0.003
8 C 0.684 0.845 0.503
9 C 0.155 0.316 0.997
10 C 0.316 0.155 0.497

---

Entry from Alexandria: crystalline Sc2NbC2 at its relaxed geometry (PBE-GGA).

Properties
Energy relative to the lowest polymorph listed for this composition   0.321 eV per atom
DFT formation energy   -1.17 eV/f.u.
E_tot   -8.471 eV/atom
M_tot   0.000 μB/atom
Symmetry   P4/mbm, No. 127
DOS(E_F)   0.386 states/eV per atom

a b c (Å): 6.283 6.283 3.319
angles (deg): 90.00 90.00 90.00
Fractional coordinates of all 10 atoms:
1 Sc 0.151 0.651 0.500
2 Sc 0.651 0.849 0.500
3 Sc 0.849 0.349 0.500
4 Sc 0.349 0.151 0.500
5 Nb 0.000 0.000 0.000
6 Nb 0.500 0.500 0.000
7 C 0.331 0.831 0.000
8 C 0.831 0.669 0.000
9 C 0.669 0.169 0.000
10 C 0.169 0.331 0.000

---

Entry from Alexandria: crystalline ScNb3C at its relaxed geometry (PBE-GGA).

Properties
Energy relative to the lowest polymorph listed for this composition   0.000 eV per atom
DFT formation energy   -0.56 eV/f.u.
E_tot   -9.265 eV/atom
M_tot   0.000 μB/atom
Symmetry   Pm-3m, No. 221
DOS(E_F)   1.270 states/eV per atom

a b c (Å): 4.398 4.398 4.398
angles (deg): 90.00 90.00 90.00
Fractional coordinates of all 5 atoms:
1 Sc 0.500 0.500 0.500
2 Nb 0.000 0.500 0.000
3 Nb 0.000 0.000 0.500
4 Nb 0.500 0.000 0.000
5 C 0.000 0.000 0.000

---

Entry from Alexandria: crystalline ScNb2C at its relaxed geometry (PBE-GGA).

Properties
DFT formation energy   -0.20 eV/f.u.
E_tot   -8.973 eV/atom
M_tot   0.008 μB/atom
Symmetry   R-3m, No. 166
DOS(E_F)   0.959 states/eV per atom

a b c (Å): 3.137 3.137 8.357
angles (deg): 79.18 79.18 60.00
Fractional coordinates of all 4 atoms:
1 Sc 0.000 0.000 0.000
2 Nb 0.117 0.117 0.649
3 Nb 0.883 0.883 0.351
4 C 0.500 0.500 0.500

---

Entry from Alexandria: crystalline ScNb3C at its relaxed geometry (PBE-GGA).

Properties
Energy relative to the lowest polymorph listed for this composition   2.967 eV per atom
DFT formation energy   14.27 eV/f.u.
E_tot   -6.299 eV/atom
M_tot   0.000 μB/atom
Symmetry   Pm-3m, No. 221
DOS(E_F)   1.360 states/eV per atom

a b c (Å): 4.686 4.686 4.686
angles (deg): 90.00 90.00 90.00
Fractional coordinates of all 5 atoms:
1 Sc 0.000 0.000 0.000
2 Nb 0.000 0.500 0.000
3 Nb 0.000 0.000 0.500
4 Nb 0.500 0.000 0.000
5 C 0.500 0.500 0.500

---

Entry from Alexandria: crystalline ScNb2C at its relaxed geometry (PBE-GGA).

Properties
DFT formation energy   0.31 eV/f.u.
E_tot   -8.846 eV/atom
M_tot   0.000 μB/atom
Symmetry   I-42d, No. 122
DOS(E_F)   0.896 states/eV per atom

a b c (Å): 7.559 7.559 5.823
angles (deg): 49.53 49.53 90.00
Fractional coordinates of all 8 atoms:
1 Sc 0.000 0.000 0.000
2 Sc 0.750 0.250 0.500
3 Nb 0.512 0.125 0.250
4 Nb 0.238 0.625 0.250
5 Nb 0.375 0.488 0.750
6 Nb 0.875 0.762 0.750
7 C 0.500 0.500 0.000
8 C 0.250 0.750 0.500